No. 1
Material: Si2WAu
Method: DFT, GGA-PBEsol
State: optimized geometry

Cell lengths 4.192, 4.192, 3.266 Å; angles 90.00, 90.00, 90.00 degrees
Element x y z (fractional)
Si 0.000 0.500 0.000
Si 0.500 0.000 0.000
W 0.000 0.000 0.500
Au 0.500 0.500 0.500

Properties
Its total magnetic moment is 0.000 μB per formula unit. The value obtained for the distance to the lowest polymorph of the same formula is 0 meV per atom.

No. 2
Material: SiW2Au
Method: DFT, GGA-PBEsol
State: optimized geometry

Cell lengths 9.107, 9.107, 9.107 Å; angles 17.81, 17.81, 17.81 degrees
Element x y z (fractional)
Si 0.000 0.000 0.000
W 0.257 0.257 0.257
W 0.503 0.503 0.503
Au 0.748 0.748 0.748

Properties
Its total magnetic moment is 0.000 μB per formula unit.

No. 3
Material: SiWAu2
Method: DFT, GGA-PBEsol
State: optimized geometry

Cell lengths 2.817, 4.575, 4.934 Å; angles 90.00, 90.00, 90.00 degrees
Element x y z (fractional)
Si 0.000 0.000 0.000
W 0.500 0.500 0.000
Au 0.000 0.500 0.500
Au 0.500 0.000 0.500

Properties
Its total magnetic moment is 0.000 μB per formula unit.

No. 4
Material: Si2WAu
Method: DFT, GGA-PBEsol
State: optimized geometry

Cell lengths 2.829, 2.829, 7.860 Å; angles 90.00, 90.00, 104.40 degrees
Element x y z (fractional)
Si 0.000 0.000 0.233
Si 0.000 0.000 0.767
W 0.500 0.500 0.000
Au 0.500 0.500 0.500

Properties
Its total magnetic moment is 0.000 μB per formula unit. The value obtained for the distance to the lowest polymorph of the same formula is 160 meV per atom.

Summary of density of states at the Fermi level in states/eV/f.u.
1.8, 3.6, 2.3, 2.3
(order as listed above)
Summary of formation energy without anion corrections in eV/atom
0.11, 0.27, 0.29, 0.27
(order as listed above)